{"formula": "YZrOs", "functional": "meta-GGA SCAN", "state": "PBEsol geometry", "cell": [[0.000, 3.203, 3.203], [3.203, 0.000, 3.203], [3.203, 3.203, 0.000]], "species": ["Y", "Zr", "Os"], "frac_coords": [[0.000, 0.000, 0.000], [0.750, 0.750, 0.750], [0.250, 0.250, 0.250]], "m_tot_mub_per_fu": 0.0, "delta_e_f_mev_per_atom": 966.7, "e_tot_ev_per_atom": -42.507, "relative_energy_kj_per_mol_fu": 252}



{"formula": "SrCa5", "functional": "meta-GGA SCAN", "state": "PBEsol geometry", "cell": [[6.428, 0.000, 0.000], [0.000, 1.950, 10.138], [0.000, -1.950, 10.138]], "species": ["Sr", "Ca", "Ca", "Ca", "Ca", "Ca"], "frac_coords": [[0.000, 0.000, 0.000], [0.000, 0.331, 0.331], [0.000, 0.670, 0.670], [0.500, 0.222, 0.222], [0.500, 0.558, 0.558], [0.500, 0.887, 0.887]], "m_tot_mub_per_fu": 0.1, "delta_e_f_mev_per_atom": 12.1, "e_tot_ev_per_atom": -11.753}



{"formula": "BeIn2Os", "functional": "meta-GGA SCAN", "state": "PBEsol geometry", "cell": [[0.000, 3.186, 3.186], [3.186, 0.000, 3.186], [3.186, 3.186, 0.000]], "species": ["Be", "In", "In", "Os"], "frac_coords": [[0.000, 0.000, 0.000], [0.250, 0.250, 0.250], [0.500, 0.500, 0.500], [0.750, 0.750, 0.750]], "m_tot_mub_per_fu": 0.0, "delta_e_f_mev_per_atom": 654.1, "e_tot_ev_per_atom": -35.097}



{"formula": "Ca2MnOs", "functional": "meta-GGA SCAN", "state": "PBEsol geometry", "cell": [[-1.973, 2.530, 4.161], [1.973, -2.530, 4.161], [1.973, 2.530, -4.161]], "species": ["Ca", "Ca", "Mn", "Os"], "frac_coords": [[0.000, 0.000, 0.000], [0.699, 0.199, 0.500], [0.283, 0.783, 0.500], [0.414, 0.414, 0.000]], "m_tot_mub_per_fu": 3.1, "delta_e_f_mev_per_atom": 289.7, "e_tot_ev_per_atom": -27.076, "relative_energy_kj_per_mol_fu": 8}